Record 1
Compound: PrDy2In
Source: the Alexandria database
Functional: PBE
Structure: optimized geometry

Unit cell a=4.927 b=4.927 c=4.864 alpha=90.00 beta=90.00 gamma=90.00
Sites, in units of the cell vectors:
Pr  0.000  0.000  0.000
Dy  0.000  0.500  0.500
Dy  0.500  0.000  0.500
In  0.500  0.500  0.000

Values from the calculation:
Its distance to the lowest polymorph of the same formula is 0 meV per atom. Its space group is P4/mmm. Its total energy is -4.4425 eV per atom.

---

Record 2
Compound: PuCu2Ru
Source: the Alexandria database
Functional: PBE
Structure: optimized geometry

Unit cell a=4.524 b=4.524 c=4.524 alpha=60.00 beta=60.00 gamma=60.00
Sites, in units of the cell vectors:
Pu  0.000  0.000  0.000
Cu  0.250  0.250  0.250
Cu  0.750  0.750  0.750
Ru  0.500  0.500  0.500

Values from the calculation:
Its space group is Fm-3m. Its total energy is -7.6898 eV per atom.

---

Record 3
Compound: SnHBr3
Source: the Alexandria database
Functional: PBE
Structure: optimized geometry

Unit cell a=4.818 b=4.818 c=4.818 alpha=90.00 beta=90.00 gamma=90.00
Sites, in units of the cell vectors:
Sn  0.000  0.000  0.000
H  0.500  0.500  0.500
Br  0.000  0.500  0.500
Br  0.500  0.000  0.500
Br  0.500  0.500  0.000

Values from the calculation:
Its distance to the lowest polymorph of the same formula is 651 meV per atom. Its space group is Pm-3m. Its total energy is -2.3698 eV per atom.

---

Record 4
Compound: Sr2Li17Pd3
Source: the Alexandria database
Functional: PBE
Structure: optimized geometry

Unit cell a=7.878 b=7.878 c=7.878 alpha=83.37 beta=83.37 gamma=83.37
Sites, in units of the cell vectors:
Sr  0.169  0.169  0.169
Sr  0.831  0.831  0.831
Li  0.000  0.500  0.500
Li  0.165  0.165  0.672
Li  0.165  0.672  0.165
Li  0.233  0.500  0.767
Li  0.233  0.767  0.500
Li  0.328  0.835  0.835
Li  0.408  0.408  0.408
Li  0.500  0.000  0.500
Li  0.500  0.233  0.767
Li  0.500  0.500  0.000
Li  0.500  0.767  0.233
Li  0.592  0.592  0.592
Li  0.672  0.165  0.165
Li  0.767  0.233  0.500
Li  0.767  0.500  0.233
Li  0.835  0.328  0.835
Li  0.835  0.835  0.328
Pd  0.000  0.000  0.500
Pd  0.000  0.500  0.000
Pd  0.500  0.000  0.000

Values from the calculation:
Its space group is R-3m. Its total energy is -2.4339 eV per atom.

---

Record 5
Compound: CuHgSe2N
Source: the Alexandria database
Functional: PBE
Structure: optimized geometry

Unit cell a=5.170 b=5.170 c=3.563 alpha=90.00 beta=90.00 gamma=90.00
Sites, in units of the cell vectors:
Cu  0.000  0.000  0.000
Hg  0.500  0.500  0.500
Se  0.000  0.500  0.000
Se  0.500  0.000  0.000
N  0.000  0.000  0.500

Values from the calculation:
Its distance to the lowest polymorph of the same formula is 0 meV per atom. Its space group is P4/mmm. Its formation energy (no corrections) is 0.8203 eV per atom. Its total energy is -3.1181 eV per atom.

---

Record 6
Compound: SrOsPb2
Source: the Alexandria database
Functional: PBE
Structure: optimized geometry

Unit cell a=4.635 b=4.635 c=4.698 alpha=90.00 beta=90.00 gamma=90.00
Sites, in units of the cell vectors:
Sr  0.000  0.000  0.000
Os  0.500  0.500  0.000
Pb  0.000  0.500  0.500
Pb  0.500  0.000  0.500

Values from the calculation:
Its space group is P4/mmm. Its total energy is -4.5087 eV per atom.

---

Record 7
Compound: Sm2Pd4Au3
Source: the Alexandria database
Functional: PBE
Structure: optimized geometry

Unit cell a=4.309 b=5.127 c=8.915 alpha=104.64 beta=90.05 gamma=114.80
Sites, in units of the cell vectors:
Sm  0.169  0.337  0.223
Sm  0.831  0.663  0.777
Pd  0.167  0.333  0.894
Pd  0.498  0.997  0.666
Pd  0.502  0.003  0.334
Pd  0.833  0.667  0.106
Au  0.158  0.317  0.557
Au  0.500  0.000  0.000
Au  0.842  0.683  0.443

Values from the calculation:
Its space group is P-1. Its total energy is -5.1166 eV per atom.

---

Record 8
Compound: AcH10Ru3
Source: the Alexandria database
Functional: PBE
Structure: optimized geometry

Unit cell a=6.762 b=6.762 c=6.762 alpha=60.00 beta=60.00 gamma=60.00
Sites, in units of the cell vectors:
Ac  0.250  0.250  0.250
Ac  0.750  0.750  0.750
H  0.000  0.000  0.322
H  0.000  0.000  0.678
H  0.000  0.322  0.000
H  0.000  0.322  0.678
H  0.000  0.678  0.000
H  0.000  0.678  0.322
H  0.200  0.600  0.600
H  0.322  0.000  0.000
H  0.322  0.000  0.678
H  0.322  0.678  0.000
H  0.400  0.400  0.400
H  0.400  0.400  0.800
H  0.400  0.800  0.400
H  0.600  0.200  0.600
H  0.600  0.600  0.200
H  0.600  0.600  0.600
H  0.678  0.000  0.000
H  0.678  0.000  0.322
H  0.678  0.322  0.000
H  0.800  0.400  0.400
Ru  0.263  0.263  0.737
Ru  0.263  0.737  0.263
Ru  0.263  0.737  0.737
Ru  0.737  0.263  0.263
Ru  0.737  0.263  0.737
Ru  0.737  0.737  0.263

Values from the calculation:
Its space group is Fm-3m. Its total energy is -4.7629 eV per atom.

---

Copy entry 5 word for word.
Compound: CuHgSe2N
Source: the Alexandria database
Functional: PBE
Structure: optimized geometry

Unit cell a=5.170 b=5.170 c=3.563 alpha=90.00 beta=90.00 gamma=90.00
Sites, in units of the cell vectors:
Cu  0.000  0.000  0.000
Hg  0.500  0.500  0.500
Se  0.000  0.500  0.000
Se  0.500  0.000  0.000
N  0.000  0.000  0.500

Values from the calculation:
Its distance to the lowest polymorph of the same formula is 0 meV per atom. Its space group is P4/mmm. Its formation energy (no corrections) is 0.8203 eV per atom. Its total energy is -3.1181 eV per atom.

---

Which formula does entry 2 have? PuCu2Ru